(1)
Here is a relaxed BaYCd2 crystal from Alexandria via LeMat-Bulk. Energies are from GGA-PBE.

a = 5.528 Å, b = 5.528 Å, c = 5.528 Å
α = 60.00°, β = 60.00°, γ = 60.00°
Fractional positions:
Ba 0.000 0.000 0.000
Y 0.750 0.750 0.750
Cd 0.250 0.250 0.250
Cd 0.500 0.500 0.500

Values from the calculation:
ΔE to the lowest computed polymorph: 0.346 eV/atom

(2)
Here is a relaxed LiMn2ZnH crystal from Alexandria via LeMat-Bulk. Energies are from GGA-PBE.

a = 3.767 Å, b = 3.767 Å, c = 3.817 Å
α = 90.00°, β = 90.00°, γ = 90.00°
Fractional positions:
Li 0.000 0.000 0.000
Mn 0.000 0.500 0.500
Mn 0.500 0.000 0.500
Zn 0.500 0.500 0.000
H 0.000 0.000 0.500

(3)
Here is a relaxed Pm3Y6HoSc2 crystal from Alexandria via LeMat-Bulk. Energies are from GGA-PBE.

a = 6.141 Å, b = 6.141 Å, c = 11.686 Å
α = 95.02°, β = 95.02°, γ = 119.99°
Fractional positions:
Pm 0.000 0.000 0.000
Pm 0.333 0.667 0.000
Pm 0.667 0.333 0.000
Y 0.083 0.419 0.258
Y 0.245 0.245 0.742
Y 0.419 0.083 0.258
Y 0.581 0.917 0.742
Y 0.755 0.755 0.258
Y 0.917 0.581 0.742
Ho 0.500 0.500 0.500
Sc 0.167 0.833 0.500
Sc 0.833 0.167 0.500

(4)
Here is a relaxed W2Se crystal from Alexandria via LeMat-Bulk. Energies are from GGA-PBE.

a = 5.015 Å, b = 5.015 Å, c = 5.015 Å
α = 109.55°, β = 109.55°, γ = 109.31°
Fractional positions:
W 0.167 0.667 0.835
W 0.333 0.167 0.500
W 0.667 0.833 0.500
W 0.833 0.333 0.165
Se 0.250 0.250 0.000
Se 0.750 0.750 0.000

Values from the calculation:
ΔE to the lowest computed polymorph: 0.779 eV/atom
ΔE_f (raw): 0.84 eV per atom

VASP energy (eV/cell)
-10.05; -24.74; -69.77; -53.77